Computed, not measured: a relaxed structure of SrMnHgF6 at the GGA+U level of DFT.

```
data_SrMnHgF6
_chemical_formula_sum 'Sr2 Mn2 Hg2 F12'
_cell_length_a 5.2987
_cell_length_b 5.2987
_cell_length_c 10.8743
_cell_angle_alpha 90.00
_cell_angle_beta 90.00
_cell_angle_gamma 90.00
_space_group_name_H-M_alt 'P 42 n m'
_space_group_IT_number 102
_space_group_name_Hall 'P 4n -2n'
loop_
_atom_site_label
_atom_site_fract_x
_atom_site_fract_y
_atom_site_fract_z
Sr1 0.0000 0.0000 0.0000
Mn1 0.0000 0.0000 0.3341
Hg1 0.0000 0.0000 0.6690
F1 0.1799 0.1799 0.4891
F2 0.1902 0.1902 0.1837
F3 0.2142 0.2142 0.8305
```

Computed, not measured: a relaxed structure of TaMnHgF2 at the GGA+U level of DFT.

```
data_TaMnHgF2
_chemical_formula_sum 'Ta1 Mn1 Hg1 F2'
_cell_length_a 3.9817
_cell_length_b 3.9817
_cell_length_c 6.6256
_cell_angle_alpha 90.00
_cell_angle_beta 90.00
_cell_angle_gamma 90.00
_space_group_name_H-M_alt 'P 4/m m m'
_space_group_IT_number 123
_space_group_name_Hall '-P 4 2'
loop_
_atom_site_label
_atom_site_fract_x
_atom_site_fract_y
_atom_site_fract_z
Ta1 0.0000 0.0000 0.0000
Mn1 0.5000 0.5000 0.5000
Hg1 0.5000 0.5000 0.0000
F1 0.0000 0.5000 0.5000
```

Computed, not measured: a relaxed structure of MnTcHgF2 at the GGA+U level of DFT.

```
data_MnTcHgF2
_chemical_formula_sum 'Mn1 Tc1 Hg1 F2'
_cell_length_a 4.0970
_cell_length_b 4.0970
_cell_length_c 5.5322
_cell_angle_alpha 90.00
_cell_angle_beta 90.00
_cell_angle_gamma 90.00
_space_group_name_H-M_alt 'P 4/m m m'
_space_group_IT_number 123
_space_group_name_Hall '-P 4 2'
loop_
_atom_site_label
_atom_site_fract_x
_atom_site_fract_y
_atom_site_fract_z
Mn1 0.0000 0.0000 0.0000
Tc1 0.0000 0.0000 0.5000
Hg1 0.5000 0.5000 0.0000
F1 0.0000 0.5000 0.5000
```

Result set for energy: -89.2, -25.9, -24.6 eV per cell, one per record in the order listed.
Result set for total moment: 10.000, 7.292, 2.760 μB per cell, one per record in the order listed.